#i
Material: BeSb
Method: DFT, meta-GGA SCAN
State: single point on PBEsol structure

SG: Fd-3m

a b c (Å): 4.7870 4.7870 4.7870
angles (deg): 60.00 60.00 60.00
Closest atoms and distances in Å follow each position.
Fractional coordinates of all 4 atoms:
Be 0.1250 0.1250 0.1250  4 Sb 2.93, 4 Be 2.93
Be 0.8750 0.8750 0.8750  4 Sb 2.93, 4 Be 2.93
Sb 0.3750 0.3750 0.3750  4 Sb 2.93, 4 Be 2.93
Sb 0.6250 0.6250 0.6250  4 Sb 2.93, 4 Be 2.93

#ii
Material: BeSb
Method: DFT, meta-GGA SCAN
State: single point on PBEsol structure

SG: Pnma

a b c (Å): 6.0354 4.0815 7.0059
angles (deg): 90.00 90.00 90.00
Closest atoms and distances in Å follow each position.
Fractional coordinates of all 8 atoms:
Be 0.2142 0.2500 0.1480  3 Sb 2.41-2.42
Be 0.2858 0.7500 0.6480  3 Sb 2.41-2.42
Be 0.7142 0.2500 0.3520  3 Sb 2.41-2.42
Be 0.7858 0.7500 0.8520  3 Sb 2.41-2.42
Sb 0.1724 0.2500 0.8059  3 Be 2.41-2.42
Sb 0.3276 0.7500 0.3059  3 Be 2.41-2.42
Sb 0.6724 0.2500 0.6941  3 Be 2.41-2.42
Sb 0.8276 0.7500 0.1941  3 Be 2.41-2.42

Which structure wins on stability? #ii wins.

#i
Material: ScBeSb
Method: DFT, meta-GGA SCAN
State: single point on PBEsol structure

SG: F-43m

a b c (Å): 4.2449 4.2449 4.2449
angles (deg): 60.00 60.00 60.00
Closest atoms and distances in Å follow each position.
Fractional coordinates of all 3 atoms:
Sc 0.0000 0.0000 0.0000  4 Be 2.60
Be 0.2500 0.2500 0.2500  4 Sb 2.60, 4 Sc 2.60
Sb 0.5000 0.5000 0.5000  4 Be 2.60

#ii
Material: ScBeSb
Method: DFT, meta-GGA SCAN
State: single point on PBEsol structure

SG: I4mm

a b c (Å): 5.4195 5.4195 5.4195
angles (deg): 143.72 143.72 52.24
Closest atoms and distances in Å follow each position.
Fractional coordinates of all 3 atoms:
Sc 0.0000 0.0000 0.0000  5 Sb 2.91-3.09, 5 Be 2.95-3.13
Be 0.6788 0.6788 0.0000  4 Sb 2.66, 4 Sc 2.95
Sb 0.2989 0.2989 0.0000  4 Be 2.66, 1 Sc 2.91

Which structure wins on stability? #i wins.

#i
Material: TaBeSb
Method: DFT, meta-GGA SCAN
State: single point on PBEsol structure

SG: F-43m

a b c (Å): 4.4075 4.4075 4.4075
angles (deg): 60.00 60.00 60.00
Closest atoms and distances in Å follow each position.
Fractional coordinates of all 3 atoms:
Ta 0.0000 0.0000 0.0000  4 Be 2.70, 4 Sb 2.70
Be 0.7500 0.7500 0.7500  4 Ta 2.70
Sb 0.2500 0.2500 0.2500  4 Ta 2.70

#ii
Material: TaBeSb
Method: DFT, meta-GGA SCAN
State: single point on PBEsol structure

SG: Imm2

a b c (Å): 5.1161 5.1161 5.1161
angles (deg): 145.26 139.49 54.40
Closest atoms and distances in Å follow each position.
Fractional coordinates of all 3 atoms:
Ta 0.0000 0.0000 0.0000  4 Be 2.61, 5 Sb 2.83-2.90
Be 0.6268 0.6268 0.0000  4 Ta 2.61, 5 Sb 2.88
Sb 0.3108 0.3108 0.0000  5 Ta 2.83-2.90, 5 Be 2.88, 2 Sb 3.05

Which structure wins on stability? #ii wins.

#i
Material: BeTc2Sb
Method: DFT, meta-GGA SCAN
State: single point on PBEsol structure

SG: Cm

a b c (Å): 4.7240 4.7240 4.4288
angles (deg): 107.71 107.71 37.83
Closest atoms and distances in Å follow each position.
Fractional coordinates of all 4 atoms:
Be 0.0000 0.0000 0.0000  5 Tc 2.47-2.65
Tc 0.2711 0.2711 0.8760  3 Be 2.47-2.65, 2 Sb 2.62, 2 Tc 2.73
Tc 0.5161 0.5161 0.5571  2 Be 2.53, 3 Sb 2.61-2.68, 2 Tc 2.73
Sb 0.7572 0.7572 0.3461  7 Tc 2.61-2.77, 2 Be 2.78

#ii
Material: BeTc2Sb
Method: DFT, meta-GGA SCAN
State: single point on PBEsol structure

SG: P2/m

a b c (Å): 3.0587 3.3639 5.5699
angles (deg): 90.00 99.24 90.00
Closest atoms and distances in Å follow each position.
Fractional coordinates of all 4 atoms:
Be 0.0000 0.0000 0.0000  4 Tc 2.28
Tc 0.3763 0.5000 0.2182  2 Be 2.28
Tc 0.6237 0.5000 0.7818  2 Be 2.28
Sb 0.0000 0.0000 0.5000  8 Tc 2.68-2.82, 2 Be 2.78

Which structure wins on stability? #ii wins.

#i
Material: BeTc2Sb
Method: DFT, meta-GGA SCAN
State: single point on PBEsol structure

SG: R-3m

a b c (Å): 6.9544 6.9544 6.9544
angles (deg): 26.15 26.15 26.15
Closest atoms and distances in Å follow each position.
Fractional coordinates of all 4 atoms:
Be 0.0000 0.0000 0.0000  6 Tc 2.20
Tc 0.2716 0.2716 0.2716  3 Be 2.20
Tc 0.7284 0.7284 0.7284  3 Be 2.20
Sb 0.5000 0.5000 0.5000  6 Tc 2.79

#ii
Material: BeTc2Sb
Method: DFT, meta-GGA SCAN
State: single point on PBEsol structure

SG: P4mm

a b c (Å): 2.9388 2.9388 7.8354
angles (deg): 90.00 90.00 90.00
Closest atoms and distances in Å follow each position.
Fractional coordinates of all 4 atoms:
Be 0.0000 0.0000 0.0000  4 Tc 2.40
Tc 0.0000 0.0000 0.6517  4 Tc 2.58, 1 Be 2.73, 4 Sb 2.87
Tc 0.5000 0.5000 0.8465  4 Be 2.40, 4 Tc 2.58
Sb 0.5000 0.5000 0.3986  4 Tc 2.87, 4 Sb 2.94

#iii
Material: BeTc2Sb
Method: DFT, meta-GGA SCAN
State: single point on PBEsol structure

SG: I-4m2

a b c (Å): 4.7129 4.7129 4.7129
angles (deg): 131.58 131.58 70.89
Closest atoms and distances in Å follow each position.
Fractional coordinates of all 4 atoms:
Be 0.0000 0.0000 0.0000  8 Tc 2.72-2.73, 4 Sb 2.72
Tc 0.2500 0.7500 0.5000  4 Tc 2.72, 4 Be 2.72, 4 Sb 2.73
Tc 0.5000 0.5000 0.0000  4 Sb 2.72, 4 Tc 2.72, 4 Be 2.73
Sb 0.7500 0.2500 0.5000  8 Tc 2.72-2.73, 4 Be 2.72

Which structure wins on stability? #ii wins.

#i
Material: BeTlSb2
Method: DFT, meta-GGA SCAN
State: single point on PBEsol structure

SG: Fm-3m

a b c (Å): 5.0856 5.0856 5.0856
angles (deg): 60.00 60.00 60.00
Closest atoms and distances in Å follow each position.
Fractional coordinates of all 4 atoms:
Be 0.0000 0.0000 0.0000  8 Sb 3.11
Tl 0.5000 0.5000 0.5000  8 Sb 3.11
Sb 0.2500 0.2500 0.2500  4 Tl 3.11, 4 Be 3.11
Sb 0.7500 0.7500 0.7500  4 Tl 3.11, 4 Be 3.11

#ii
Material: BeTlSb2
Method: DFT, meta-GGA SCAN
State: single point on PBEsol structure

SG: Cmmm

a b c (Å): 4.9704 4.9704 3.8746
angles (deg): 90.00 90.00 101.37
Closest atoms and distances in Å follow each position.
Fractional coordinates of all 4 atoms:
Be 0.0000 0.0000 0.0000  2 Tl 3.15, 8 Sb 3.15
Tl 0.5000 0.5000 0.0000  2 Be 3.15, 8 Sb 3.15
Sb 0.0000 0.5000 0.5000  2 Sb 3.15, 4 Tl 3.15, 4 Be 3.15
Sb 0.5000 0.0000 0.5000  2 Sb 3.15, 4 Tl 3.15, 4 Be 3.15

Which structure wins on stability? #ii wins.

#i
Material: Be2TlSb
Method: DFT, meta-GGA SCAN
State: single point on PBEsol structure

SG: I4/mmm

a b c (Å): 4.8781 4.8781 4.8781
angles (deg): 125.87 125.87 80.11
Closest atoms and distances in Å follow each position.
Fractional coordinates of all 4 atoms:
Be 0.2500 0.7500 0.5000  4 Tl 2.90, 4 Sb 2.90, 4 Be 3.14
Be 0.7500 0.2500 0.5000  4 Tl 2.90, 4 Sb 2.90, 4 Be 3.14
Tl 0.0000 0.0000 0.0000  8 Be 2.90, 4 Sb 3.14
Sb 0.5000 0.5000 0.0000  8 Be 2.90, 4 Tl 3.14

#ii
Material: Be2TlSb
Method: DFT, meta-GGA SCAN
State: single point on PBEsol structure

SG: Immm

a b c (Å): 4.8893 4.8893 4.8893
angles (deg): 133.57 113.48 84.97
Closest atoms and distances in Å follow each position.
Fractional coordinates of all 4 atoms:
Be 0.2423 0.2423 0.0000  2 Sb 2.60, 2 Tl 2.68
Be 0.7577 0.7577 0.0000  2 Sb 2.60, 2 Tl 2.68
Tl 0.5000 0.0000 0.5000  4 Be 2.68
Sb 0.0000 0.5000 0.5000  4 Be 2.60

Which structure wins on stability? #ii wins.

#i
Material: BeZn2Sb
Method: DFT, meta-GGA SCAN
State: single point on PBEsol structure

SG: F-43m

a b c (Å): 4.5759 4.5759 4.5759
angles (deg): 60.00 60.00 60.00
Closest atoms and distances in Å follow each position.
Fractional coordinates of all 4 atoms:
Be 0.0000 0.0000 0.0000  4 Zn 2.80, 4 Sb 2.80
Zn 0.5000 0.5000 0.5000  4 Zn 2.80, 4 Sb 2.80
Zn 0.7500 0.7500 0.7500  4 Zn 2.80, 4 Be 2.80
Sb 0.2500 0.2500 0.2500  4 Zn 2.80, 4 Be 2.80

#ii
Material: BeZn2Sb
Method: DFT, meta-GGA SCAN
State: single point on PBEsol structure

SG: Cmmm

a b c (Å): 4.4771 4.4771 3.7439
angles (deg): 90.00 90.00 114.89
Closest atoms and distances in Å follow each position.
Fractional coordinates of all 4 atoms:
Be 0.0000 0.0000 0.0000  2 Sb 2.41
Zn 0.0000 0.5000 0.5000  2 Zn 2.41
Zn 0.5000 0.0000 0.5000  2 Zn 2.41
Sb 0.5000 0.5000 0.0000  2 Be 2.41

Which structure wins on stability? #ii wins.